(1)
Entry from Alexandria: a relaxed structure of Ce2GaPd3 (PBE-GGA).

```
data_Ce2GaPd3
_chemical_formula_sum 'Ce16 Ga8 Pd24'
_space_group_name_H-M_alt 'F m m m'
_space_group_IT_number 69
_space_group_name_Hall '-F 2 2'
_cell_length_a 6.764
_cell_length_b 9.181
_cell_length_c 15.875
_cell_angle_alpha 90.00
_cell_angle_beta 90.00
_cell_angle_gamma 90.00
loop_
_atom_site_label
_atom_site_type_symbol
_atom_site_fract_x
_atom_site_fract_y
_atom_site_fract_z
Ce1 Ce 0.241 0.000 0.000
Ce2 Ce 0.250 0.250 0.250
Ga1 Ga 0.000 0.000 0.333
Pd1 Pd 0.000 0.000 0.172
Pd2 Pd 0.000 0.237 0.414
```

* ΔH_f (0 K): -420 kJ/mol of formula units
* final energy: -5.80 eV per atom
* Fermi-level density of states: 77.0 states/eV per cell

(2)
Entry from Alexandria: a relaxed structure of AcSmTl2 (PBE-GGA).

```
data_AcSmTl2
_chemical_formula_sum 'Ac1 Sm1 Tl2'
_space_group_name_H-M_alt 'P 4/m m m'
_space_group_IT_number 123
_space_group_name_Hall '-P 4 2'
_cell_length_a 3.979
_cell_length_b 3.979
_cell_length_c 8.057
_cell_angle_alpha 90.00
_cell_angle_beta 90.00
_cell_angle_gamma 90.00
loop_
_atom_site_label
_atom_site_type_symbol
_atom_site_fract_x
_atom_site_fract_y
_atom_site_fract_z
Ac1 Ac 0.000 0.000 0.000
Sm1 Sm 0.000 0.000 0.500
Tl1 Tl 0.500 0.500 0.273
```

* ΔH_f (0 K): -138 kJ/mol of formula units
* final energy: -3.75 eV per atom
* Fermi-level density of states: 4.0 states/eV per cell

(3)
Entry from Alexandria: a relaxed structure of EuThCu2 (PBE-GGA).

```
data_EuThCu2
_chemical_formula_sum 'Eu1 Th1 Cu2'
_space_group_name_H-M_alt 'P 4/m m m'
_space_group_IT_number 123
_space_group_name_Hall '-P 4 2'
_cell_length_a 3.591
_cell_length_b 3.591
_cell_length_c 7.341
_cell_angle_alpha 90.00
_cell_angle_beta 90.00
_cell_angle_gamma 90.00
loop_
_atom_site_label
_atom_site_type_symbol
_atom_site_fract_x
_atom_site_fract_y
_atom_site_fract_z
Eu1 Eu 0.000 0.000 0.000
Th1 Th 0.000 0.000 0.500
Cu1 Cu 0.500 0.500 0.275
```

* ΔH_f (0 K): -28 kJ/mol of formula units
* final energy: -6.54 eV per atom
* Fermi-level density of states: 7.1 states/eV per cell

(4)
Entry from Alexandria: a relaxed structure of Ce2PrMn (PBE-GGA).

```
data_Ce2PrMn
_chemical_formula_sum 'Ce2 Pr1 Mn1'
_space_group_name_H-M_alt 'P 4/m m m'
_space_group_IT_number 123
_space_group_name_Hall '-P 4 2'
_cell_length_a 3.503
_cell_length_b 3.503
_cell_length_c 8.544
_cell_angle_alpha 90.00
_cell_angle_beta 90.00
_cell_angle_gamma 90.00
loop_
_atom_site_label
_atom_site_type_symbol
_atom_site_fract_x
_atom_site_fract_y
_atom_site_fract_z
Ce1 Ce 0.000 0.000 0.190
Pr1 Pr 0.500 0.500 0.500
Mn1 Mn 0.500 0.500 0.000
```

* ΔH_f (0 K): 77 kJ/mol of formula units
* final energy: -6.25 eV per atom
* Fermi-level density of states: 11.3 states/eV per cell

Q: Look up the Fermi-level density of states of the second one.
A: 4.0 states/eV per cell